This record from the Alexandria database describes a relaxed NbTl2Pd crystal. The functional is PBE.

```
NbTl2Pd
1.0
-3.8240 3.8240 3.0025
3.8240 -3.8240 3.0025
3.8240 3.8240 -3.0025
Nb Tl Pd
2 4 2
Direct
0.0000 0.0000 0.0000
0.7500 0.2500 0.5000
0.1432 0.6250 0.0182
0.3750 0.3932 0.5182
0.6068 0.1250 0.9818
0.8750 0.8568 0.4818
0.2500 0.7500 0.5000
0.5000 0.5000 0.0000
```

As for the space group: I-42d (122). The uncorrected energy is -36.2 eV per cell. As for the calculated volume: 21.95 Å³/atom. The calculation puts the calculated formation energy at 0.47 eV/atom. Its crystal system is tetragonal.